VASP calculation (PBE) on a geometry-optimized ZnAgOs2 structure.

Lattice parameters (Å, degrees): 2.6574 2.6574 8.6066 90.00 90.00 90.00
Closest atoms and distances in Å follow each position.
Positions (direct):
Ag1 0.5000 0.5000 0.7500  4 Ag 2.66, 8 Os 2.95
Os1 0.0000 0.0000 0.0140  4 Os 2.66, 4 Zn 2.77, 4 Ag 2.95
Os2 0.0000 0.0000 0.4860  4 Os 2.66, 4 Zn 2.77, 4 Ag 2.95
Zn1 0.5000 0.5000 0.2500  4 Zn 2.66, 8 Os 2.77

Summary:
spin magnetization	0.00	μB/f.u.
symmetry	P4/mmm, No. 123
crystal system	tetragonal
ρ	15.13	g/cm3


VASP calculation (PBE) on a geometry-optimized AcDy6Y structure.

Lattice parameters (Å, degrees): 5.9719 5.9719 8.9160 79.56 79.56 71.68
Closest atoms and distances in Å follow each position.
Positions (direct):
Ac1 0.0000 0.0000 0.0000  10 Dy 3.54-3.81
Dy1 0.4825 0.9585 0.7002  4 Dy 3.29-3.66, 2 Y 3.42-3.50, 1 Ac 3.54
Dy2 0.9585 0.4825 0.7002  4 Dy 3.29-3.66, 2 Y 3.42-3.50, 1 Ac 3.54
Dy3 0.0415 0.5175 0.2998  4 Dy 3.29-3.66, 2 Y 3.42-3.50, 1 Ac 3.54
Dy4 0.5175 0.0415 0.2998  4 Dy 3.29-3.66, 2 Y 3.42-3.50, 1 Ac 3.54
Dy5 0.6234 0.6234 0.0792  3 Dy 3.04-3.29
Dy6 0.3766 0.3766 0.9208  3 Dy 3.04-3.29
Y1 0.5000 0.5000 0.5000  10 Dy 3.42-3.67

Summary:
spin magnetization	0.00	μB/f.u.
symmetry	C2/m, No. 12
crystal system	monoclinic
energy above the lowest structure with this stoichiometry	359	meV/atom
ρ	7.29	g/cm3


VASP calculation (PBE) on a geometry-optimized Cr5ReRh6 structure.

Lattice parameters (Å, degrees): 3.7912 7.0737 7.0737 107.22 105.54 105.54
Closest atoms and distances in Å follow each position.
Positions (direct):
Cr1 0.5000 0.1642 0.8358  8 Rh 2.66-2.67, 2 Re 2.66, 2 Cr 2.69
Cr2 0.0000 0.3320 0.6680  8 Rh 2.66, 4 Cr 2.69
Cr3 0.5000 0.5000 0.5000  8 Rh 2.65-2.66, 4 Cr 2.69
Cr4 0.0000 0.6680 0.3320  8 Rh 2.66, 4 Cr 2.69
Cr5 0.5000 0.8358 0.1642  8 Rh 2.66-2.67, 2 Re 2.66, 2 Cr 2.69
Rh1 0.2517 0.0842 0.4192  7 Cr 2.66-2.67, 4 Rh 2.67-2.69, 1 Re 2.68
Rh2 0.7483 0.5808 0.9158  7 Cr 2.66-2.67, 4 Rh 2.67-2.69, 1 Re 2.68
Rh3 0.7531 0.2531 0.2531  6 Cr 2.65-2.66, 2 Re 2.68, 4 Rh 2.69
Rh4 0.2469 0.7469 0.7469  6 Cr 2.65-2.66, 2 Re 2.68, 4 Rh 2.69
Rh5 0.2517 0.4192 0.0842  7 Cr 2.66-2.67, 4 Rh 2.67-2.69, 1 Re 2.68
Rh6 0.7483 0.9158 0.5808  7 Cr 2.66-2.67, 4 Rh 2.67-2.69, 1 Re 2.68
Re1 0.0000 0.0000 0.0000  4 Cr 2.66, 8 Rh 2.68

Summary:
spin magnetization	0.60	μB/f.u.
symmetry	Immm, No. 71
crystal system	orthorhombic
ρ	10.93	g/cm3


VASP calculation (PBE) on a geometry-optimized Pu5Ge4Os structure.

Lattice parameters (Å, degrees): 3.8190 3.8190 14.3667 90.00 90.00 90.00
Closest atoms and distances in Å follow each position.
Positions (direct):
Pu1 0.5000 0.5000 0.0963  2 Pu 2.77-2.90, 4 Ge 3.00, 4 Os 3.03
Pu2 0.5000 0.5000 0.2983  2 Pu 2.90, 8 Ge 3.09-3.14
Pu3 0.5000 0.5000 0.5000  2 Pu 2.90, 8 Ge 3.04
Pu4 0.5000 0.5000 0.7017  2 Pu 2.90, 8 Ge 3.09-3.14
Pu5 0.5000 0.5000 0.9037  2 Pu 2.77-2.90, 4 Ge 3.00, 4 Os 3.03
Ge1 0.0000 0.0000 0.1873  1 Os 2.69, 4 Pu 3.00
Ge2 0.0000 0.0000 0.4027  2 Ge 2.80-3.09, 8 Pu 3.04-3.09
Ge3 0.0000 0.0000 0.5973  2 Ge 2.80-3.09, 8 Pu 3.04-3.09
Ge4 0.0000 0.0000 0.8127  1 Os 2.69, 4 Pu 3.00
Os1 0.0000 0.0000 0.0000  2 Ge 2.69

Summary:
spin magnetization	25.71	μB/f.u.
symmetry	P4/mmm, No. 123
crystal system	tetragonal
ρ	13.48	g/cm3


| no. | calculated formation energy (meV per atom) | DFT total energy (eV per atom) |
| --- | --- | --- |
| 1 | 714 | -5.93 |
| 2 | 404 | -4.37 |
| 3 | -74 | -8.80 |
| 4 | -356 | -10.49 |